The following is a meta-GGA SCAN calculation of a crystal of TiNb2TeRh relaxed with PBEsol, from Alexandria via LeMat-Bulk.

Properties
The total energy is -30.13 eV per atom. The value obtained for the volume is 21.6 Å³/atom. As for the formation energy without anion corrections: 2.6 eV/f.u. The calculation puts the size of the total moment at 0.0 μB/f.u. The calculation puts the density of states at the Fermi level at 1.34 states/eV per atom.

a = 4.609 Å, b = 4.837 Å, c = 4.837 Å
α = 90.00°, β = 90.00°, γ = 90.00°
Positions (direct):
Rh (0.000, 0.000, 0.000)
Nb (0.000, 0.500, 0.000)
Te (0.500, 0.500, 0.500)
Ti (0.500, 0.000, 0.000)
Nb (0.000, 0.000, 0.500)